Record 1
A relaxed structure of NbZnN2O. Source: Alexandria via LeMat-Bulk, functional PBE.

Geometry as POSCAR:
```
NbZnN2O
1.0
-3.724 -0.398 -0.580
0.704 -2.000 -3.142
0.023 -3.104 1.981
N Zn Nb O
2 1 1 1
Cartesian
-1.862 -0.199 -0.290
0.352 -1.000 -1.571
0.000 0.000 0.000
-1.499 -2.751 -0.871
0.012 -1.552 0.990
```

Results
Formation energy without anion corrections ... 0.679 eV/atom

---

Record 2
A relaxed structure of LiMg2Ga2. Source: Alexandria via LeMat-Bulk, functional PBE.

Geometry as POSCAR:
```
LiMg2Ga2
1.0
-1.585 0.893 -5.100
-6.617 0.252 2.101
4.542 4.604 2.269
Mg Li Ga
4 2 4
Cartesian
-4.050 3.154 1.811
-2.850 3.524 -1.372
0.390 2.595 -2.542
-0.810 2.225 0.641
-3.705 0.349 -0.225
-4.497 0.795 -2.775
-1.768 4.689 1.371
-1.892 1.060 -2.101
1.760 4.971 -2.552
-5.421 0.778 1.821
```

Results
Distance to the lowest polymorph of the same formula ... 8 meV/atom
DFT formation energy ... -0.69 eV per formula unit

---

Record 3
A relaxed structure of K2ZnAu2. Source: Alexandria via LeMat-Bulk, functional PBE.

Geometry as POSCAR:
```
K2ZnAu2
1.0
-4.419 0.320 -1.056
-1.198 -3.952 3.817
2.177 5.693 2.435
Zn Au K
1 2 2
Cartesian
0.000 0.000 0.000
-2.513 -0.841 0.439
-3.104 -2.791 2.323
-0.849 -0.438 3.422
-2.590 2.499 1.774
```

Results
Distance to the lowest polymorph of the same formula ... 0 meV/atom
DFT formation energy ... -1.35 eV per formula unit

---

Record 4
A relaxed structure of Tb2GdSc. Source: Alexandria via LeMat-Bulk, functional PBE.

Geometry as POSCAR:
```
Tb2GdSc
1.0
4.937 0.000 0.000
0.000 4.925 0.000
0.000 0.000 4.925
Gd Sc Tb
1 1 2
Cartesian
2.468 2.463 2.463
2.468 0.000 0.000
0.000 0.000 2.463
0.000 2.463 0.000
```

Results
Distance to the lowest polymorph of the same formula ... 0 meV/atom
DFT formation energy ... 0.15 eV per formula unit

---

In the order shown, the computed ρ values come out to 6.4, 3.3, 6.4, 7.2 g/cm³.
In the order shown, the computed V values come out to 52.9, 98.8, 140.3, 119.8 Å³/f.u..